La2TcAg: relaxed, PBE. Values from VASP.

Quantum ESPRESSO input file:
```
&SYSTEM
  ibrav = 0, nat = 4, ntyp = 3
/
ATOMIC_SPECIES
La 138.91 La.upf
Tc 98.00 Tc.upf
Ag 107.87 Ag.upf
CELL_PARAMETERS angstrom
0.000 3.565 3.565
3.565 0.000 3.565
3.565 3.565 0.000
ATOMIC_POSITIONS crystal
La 0.000 0.000 0.000
La 0.250 0.250 0.250
Tc 0.500 0.500 0.500
Ag 0.750 0.750 0.750
```

Results
- DOS(E_F): 5.0 states/eV/f.u.
- Crystal system: cubic
- Total energy: -5.526 eV/atom
- Energy relative to the elements: 0.24 eV/atom

La7Tc2Ag2: relaxed, PBE. Values from VASP.

Quantum ESPRESSO input file:
```
&SYSTEM
  ibrav = 0, nat = 11, ntyp = 3
/
ATOMIC_SPECIES
La 138.91 La.upf
Tc 98.00 Tc.upf
Ag 107.87 Ag.upf
CELL_PARAMETERS angstrom
-2.041 8.118 4.937
2.041 -8.118 4.937
2.041 8.118 -4.937
ATOMIC_POSITIONS crystal
La 0.000 0.000 0.000
La 0.066 0.386 0.680
La 0.083 0.736 0.346
La 0.390 0.736 0.654
La 0.450 0.578 0.872
La 0.705 0.578 0.128
La 0.706 0.386 0.320
Tc 0.318 0.067 0.251
Tc 0.815 0.067 0.749
Ag 0.322 0.322 0.000
Ag 0.735 0.235 0.500
```

Results
- DOS(E_F): 10.5 states/eV/f.u.
- Crystal system: orthorhombic
- Total energy: -5.614 eV/atom
- Energy relative to the elements: -0.07 eV/atom

La8TcAg2: relaxed, PBE. Values from VASP.

Quantum ESPRESSO input file:
```
&SYSTEM
  ibrav = 0, nat = 11, ntyp = 3
/
ATOMIC_SPECIES
La 138.91 La.upf
Tc 98.00 Tc.upf
Ag 107.87 Ag.upf
CELL_PARAMETERS angstrom
9.327 -2.534 0.000
9.327 2.534 0.000
-0.394 0.000 7.310
ATOMIC_POSITIONS crystal
La 0.004 0.004 0.271
La 0.214 0.214 0.831
La 0.356 0.356 0.501
La 0.410 0.410 0.016
La 0.590 0.590 0.984
La 0.644 0.644 0.499
La 0.786 0.786 0.169
La 0.996 0.996 0.729
Tc 0.500 0.500 0.500
Ag 0.182 0.182 0.247
Ag 0.818 0.818 0.753
```

Results
- DOS(E_F): 12.3 states/eV/f.u.
- Crystal system: monoclinic
- Total energy: -5.121 eV/atom
- Energy relative to the elements: -0.08 eV/atom
- Energy relative to the lowest polymorph listed for this composition: 0.0 kJ/mol of atoms

La2TcAg: relaxed, PBE. Values from VASP.

Quantum ESPRESSO input file:
```
&SYSTEM
  ibrav = 0, nat = 4, ntyp = 3
/
ATOMIC_SPECIES
La 138.91 La.upf
Tc 98.00 Tc.upf
Ag 107.87 Ag.upf
CELL_PARAMETERS angstrom
3.846 -1.768 0.000
3.846 1.768 0.000
-1.294 0.000 8.075
ATOMIC_POSITIONS crystal
La 0.246 0.246 0.210
La 0.754 0.754 0.790
Tc 0.500 0.500 0.000
Ag 0.000 0.000 0.500
```

Results
- DOS(E_F): 3.4 states/eV/f.u.
- Crystal system: monoclinic
- Total energy: -5.633 eV/atom
- Energy relative to the elements: 0.14 eV/atom

La2TcAg: relaxed, PBE. Values from VASP.

Quantum ESPRESSO input file:
```
&SYSTEM
  ibrav = 0, nat = 4, ntyp = 3
/
ATOMIC_SPECIES
La 138.91 La.upf
Tc 98.00 Tc.upf
Ag 107.87 Ag.upf
CELL_PARAMETERS angstrom
3.828 0.000 0.000
0.000 3.828 0.000
0.000 0.000 7.414
ATOMIC_POSITIONS crystal
La 0.000 0.000 0.000
La 0.500 0.500 0.415
Tc 0.000 0.000 0.652
Ag 0.500 0.500 0.811
```

Results
- DOS(E_F): 3.2 states/eV/f.u.
- Crystal system: tetragonal
- Total energy: -5.520 eV/atom
- Energy relative to the elements: 0.25 eV/atom

La2TcAg: relaxed, PBE. Values from VASP.

Quantum ESPRESSO input file:
```
&SYSTEM
  ibrav = 0, nat = 4, ntyp = 3
/
ATOMIC_SPECIES
La 138.91 La.upf
Tc 98.00 Tc.upf
Ag 107.87 Ag.upf
CELL_PARAMETERS angstrom
2.029 1.172 7.985
-2.029 1.172 7.985
0.000 -2.343 7.985
ATOMIC_POSITIONS crystal
La 0.237 0.237 0.237
La 0.763 0.763 0.763
Tc 0.500 0.500 0.500
Ag 0.000 0.000 0.000
```

Results
- DOS(E_F): 4.1 states/eV/f.u.
- Crystal system: trigonal
- Total energy: -5.587 eV/atom
- Energy relative to the elements: 0.18 eV/atom